18
Lattice="-1.6538 3.2037 -4.4545 -1.7729 -6.3307 -3.8948 -6.4641 -1.3409 5.1219" Properties=species:S:1:pos:R:3 comment="PBE-GGA Th2Al3Pt4, relaxed" formation_energy_ev_per_atom=-1.114 pbc="T T T"
Pt -2.5280 0.8503 -3.9794
Pt -7.3628 -5.3182 0.7520
Pt -5.4869 1.5782 -0.5141
Pt -4.4500 -1.6560 -3.2251
Pt -1.7011 -0.7515 -1.7521
Pt -5.4408 -2.8119 -0.0023
Pt -8.1897 -3.7164 -1.4753
Pt -4.4039 -6.0461 -2.7133
Al -4.9301 -5.4053 -0.2139
Al -4.9607 0.9374 -3.0135
Al -1.7134 -1.5635 -4.1747
Al -5.7570 -3.8035 -2.4412
Al 0.0000 0.0000 0.0000
Al -4.1338 -0.6645 -0.7863
Th -5.8655 -0.3700 1.9116
Th -7.2572 -0.7852 -1.5566
Th -2.6336 -3.6828 -1.6708
Th -4.0253 -4.0979 -5.1390

***

18
Lattice="4.0666 0.0000 0.0000 -2.0333 6.5008 0.0000 0.0000 0.0000 12.4468" Properties=species:S:1:pos:R:3 comment="PBE-GGA ThAl5Pt3, relaxed" formation_energy_ev_per_atom=-0.921 pbc="T T T"
Pt 0.0000 5.0417 6.8412
Pt 2.0333 1.4592 0.6178
Pt 0.0000 1.6722 9.3351
Pt 0.0000 5.0417 11.8290
Pt 2.0333 4.8287 3.1117
Pt 2.0333 1.4592 5.6056
Al 0.0000 0.0000 6.2234
Al 2.0333 3.9140 5.4672
Al 2.0333 0.7699 8.0734
Al 0.0000 5.7309 1.8500
Al 0.0000 5.7309 4.3734
Al 2.0333 0.7699 10.5968
Al 0.0000 2.5869 11.6906
Al 2.0333 3.9140 0.7562
Al 0.0000 2.5869 6.9796
Al 0.0000 0.0000 0.0000
Th 0.0000 2.1391 3.1117
Th 2.0333 4.3617 9.3351

***

10
Lattice="-1.1626 -4.5274 2.2179 5.1571 -0.1753 2.3454 -2.4630 3.4105 5.6706" Properties=species:S:1:pos:R:3 comment="PBE-GGA ThAlPt3, relaxed" formation_energy_ev_per_atom=-0.832 pbc="T T T"
Th -0.5813 -2.2637 1.1090
Th 0.7657 -0.6461 5.1170
Pt 1.9972 -2.3514 2.2817
Pt 0.2015 0.5646 1.2582
Pt 2.4925 2.6705 6.7578
Pt 0.2993 2.2247 4.6981
Pt -1.8128 -0.5585 3.9443
Pt 2.3948 1.0105 3.3180
Al -1.2315 1.7052 2.8353
Al 2.5785 -0.0877 1.1727

***

24
Lattice="-2.6413 3.0691 -5.9220 -8.3548 0.0652 -0.5852 -1.5172 8.2159 0.5892" Properties=species:S:1:pos:R:3 comment="PBE-GGA ThAl9Pt2, relaxed" formation_energy_ev_per_atom=-0.534 pbc="T T T"
Al -8.7262 5.6434 -0.1668
Al -5.8978 8.1096 -2.3228
Al -4.1476 6.8481 -3.7572
Al -8.0626 9.0800 -4.2688
Al -2.5126 3.9142 -0.7307
Al -7.0712 7.6162 0.1174
Al -6.6232 1.6768 -2.2295
Al -8.6485 4.8308 -2.7953
Al -9.7177 7.1071 -4.5531
Al -4.1676 1.9414 -1.0149
Al -8.3734 2.9383 -0.7951
Al -4.4043 2.5281 -3.7089
Al 0.0000 0.0000 0.0000
Al -2.7493 4.5009 -3.4246
Al -2.5363 6.5485 -1.5276
Al -6.8983 3.5692 -4.2296
Al -6.9169 6.4423 -4.4396
Al -4.2864 7.8101 -0.0932
Th -5.5963 4.9078 -1.4785
Th -1.3206 1.5345 -2.9610
Pt -8.9565 4.7883 -5.4734
Pt -5.5377 8.8636 -4.8862
Pt -4.7791 4.7557 -5.1808
Pt -8.3944 7.3617 -2.2178

***

20
Lattice="4.3271 0.0000 -0.7371 0.0000 6.9550 0.0000 -0.0456 0.0000 12.8020" Properties=species:S:1:pos:R:3 comment="PBE-GGA Th2Al5Pt3, relaxed" formation_energy_ev_per_atom=-0.977 pbc="T T T"
Pt 0.9657 1.4421 5.6689
Pt 0.2204 6.7989 1.2938
Pt 4.0612 3.3214 10.7711
Pt 2.6247 3.5740 2.3387
Pt 1.6568 0.0965 9.7261
Pt 3.3159 4.9197 6.3960
Th 3.5462 1.5873 7.7479
Th 2.2508 1.8290 0.1433
Th 0.7354 5.0648 4.3170
Th 2.0308 5.3065 11.9215
Al 0.5368 1.7500 3.1510
Al 3.0573 0.1056 4.8779
Al 4.0503 0.6561 10.7075
Al 1.2411 6.2958 7.2856
Al 2.5953 6.3186 2.1661
Al 0.2312 4.1336 1.3574
Al 3.7448 5.2275 8.9139
Al 1.2243 3.5831 7.1870
Al 1.6862 2.8411 9.8988
Al 3.0405 2.8183 4.7793

***

12
Lattice="-3.5426 1.8640 0.5043 -2.3874 -3.0296 -5.5734 -0.8016 -7.0144 4.1562" Properties=species:S:1:pos:R:3 comment="PBE-GGA ThAlPt4, relaxed" de_polymorph_ev_per_atom=0.0000 formation_energy_ev_per_atom=-1.018 pbc="T T T"
Pt -2.7439 -5.2927 0.2878
Pt -2.9650 -0.5828 -2.5346
Pt -1.7713 0.9320 0.2521
Pt -4.5478 -4.9782 2.5934
Pt -1.7569 -4.0402 2.5919
Pt -4.9747 -4.1398 -3.5048
Pt -2.1838 -3.2018 -3.5063
Pt -3.9877 -2.8873 -1.2006
Th -1.1332 -2.0252 -0.4744
Th -5.5984 -6.1547 -0.4384
Al -3.7470 -3.0850 1.2213
Al -2.9846 -5.0950 -2.1342